# 1
Here is a relaxed SrCa2Tl crystal from the Alexandria database. Energies are from GGA-PBEsol.

Results
- Final energy: -9.7 eV for the cell shown
- E_form: -0.248 eV per atom

Unit cell a=3.9096 b=3.9096 c=9.5665 alpha=90.00 beta=90.00 gamma=90.00
Sites, in units of the cell vectors:
Sr  0.0000  0.0000  0.0000
Ca  0.0000  0.0000  0.3990
Ca  0.5000  0.5000  0.6844
Tl  0.5000  0.5000  0.2179



# 2
Here is a relaxed SrCaTl crystal from the Alexandria database. Energies are from GGA-PBEsol.

Results
- Final energy: -7.3 eV for the cell shown
- E_form: -0.227 eV per atom

Unit cell a=5.4730 b=5.4730 c=5.4730 alpha=60.00 beta=60.00 gamma=60.00
Sites, in units of the cell vectors:
Sr  0.0000  0.0000  0.0000
Ca  0.5000  0.5000  0.5000
Tl  0.7500  0.7500  0.7500